Material: Si3PH
Method: DFT, PBE-GGA
State: relaxed

```
data_Si3PH
_chemical_formula_sum 'Si3 P1 H1'
_space_group_name_H-M_alt 'P m -3 m'
_space_group_IT_number 221
_space_group_name_Hall '-P 4 2 3'
_cell_length_a 4.532
_cell_length_b 4.532
_cell_length_c 4.532
_cell_angle_alpha 90.00
_cell_angle_beta 90.00
_cell_angle_gamma 90.00
loop_
_atom_site_label
_atom_site_type_symbol
_atom_site_fract_x
_atom_site_fract_y
_atom_site_fract_z
_atom_site_occupancy
Si1 Si 0.000 0.000 0.500 1
P1 P 0.000 0.000 0.000 1
H1 H 0.500 0.500 0.500 1
```

Output
The energy relative to the lowest polymorph listed for this composition is 0.630 eV per atom. The density of states at the Fermi level comes out at 3.2 states/eV per cell. The value obtained for the energy is -18.24 eV/cell.